Pt3Au5I12, relaxed, DFT PBE; space group = Ia-3d, No. 230; calculated volume = 2772.2 Å³ per cell; size of the total moment = 0.00 μB per formula unit; uncorrected formation energy = 0.140 eV/atom
1.0
15.3278 0.0000 0.0000
-5.1093 14.4512 0.0000
-5.1093 -7.2256 12.5151
I Au Pt
48 20 12
Direct
0.7923 0.8538 0.4694
0.3844 0.8229 0.0306
0.0615 0.8538 0.8844
0.3538 0.8844 0.5615
0.1771 0.6156 0.4694
0.6156 0.4385 0.1462
0.4385 0.8229 0.2923
0.6462 0.1156 0.4385
0.0306 0.7077 0.1462
0.2923 0.3229 0.4385
0.9385 0.1462 0.1156
0.4694 0.3538 0.7923
0.4694 0.1156 0.1771
0.9385 0.7923 0.3229
0.1156 0.4694 0.6771
0.1771 0.5615 0.2077
0.8844 0.3538 0.0615
0.6771 0.7077 0.0615
0.5306 0.8844 0.8229
0.6462 0.5306 0.7077
0.8844 0.5306 0.3229
0.5615 0.1771 0.7077
0.3229 0.2923 0.9385
0.3844 0.5615 0.8538
0.0615 0.2077 0.6771
0.7923 0.9385 0.8229
0.2077 0.1462 0.5306
0.8229 0.3844 0.5306
0.6156 0.1771 0.9694
0.5306 0.6462 0.2077
0.9694 0.2923 0.8538
0.2923 0.9694 0.3538
0.0306 0.3229 0.3844
0.4385 0.6156 0.6462
0.8538 0.0615 0.3844
0.1156 0.6462 0.9385
0.8229 0.4385 0.7923
0.1462 0.2077 0.0306
0.3229 0.0306 0.8844
0.1462 0.9385 0.6156
0.2077 0.0615 0.1771
0.3538 0.4694 0.2923
0.5615 0.3844 0.3538
0.9694 0.6771 0.6156
0.8538 0.7923 0.9694
0.7077 0.0306 0.6462
0.6771 0.9694 0.1156
0.7077 0.6771 0.5615
0.0000 0.5000 0.5000
0.1250 0.7500 0.3750
0.8750 0.2500 0.6250
0.3750 0.1250 0.7500
0.6250 0.7500 0.8750
0.0000 0.0000 0.0000
0.2500 0.3750 0.6250
0.5000 0.0000 0.5000
0.2500 0.8750 0.1250
0.5000 0.5000 0.5000
0.3750 0.2500 0.1250
0.8750 0.6250 0.7500
0.6250 0.8750 0.2500
0.0000 0.0000 0.5000
0.0000 0.5000 0.0000
0.1250 0.3750 0.2500
0.7500 0.6250 0.3750
0.5000 0.5000 0.0000
0.5000 0.0000 0.0000
0.7500 0.1250 0.8750
0.3750 0.7500 0.6250
0.6250 0.3750 0.7500
0.6250 0.2500 0.3750
0.7500 0.8750 0.6250
0.7500 0.3750 0.1250
0.3750 0.6250 0.2500
0.8750 0.1250 0.2500
0.1250 0.8750 0.7500
0.8750 0.7500 0.1250
0.2500 0.6250 0.8750
0.2500 0.1250 0.3750
0.1250 0.2500 0.8750

=====

Pt2Au2I, relaxed, DFT PBE; space group = P4/mbm, No. 127; calculated volume = 196.3 Å³ per cell; size of the total moment = 0.00 μB per formula unit; uncorrected formation energy = 0.284 eV/atom
1.0
-0.0150 7.2718 -0.1590
-6.9372 -0.0621 -2.1853
-1.1151 0.0751 3.5377
Pt Au I
4 4 2
Direct
0.6434 0.1434 0.0000
0.8566 0.6434 0.0000
0.1434 0.3566 0.0000
0.3566 0.8566 0.0000
0.6522 0.8478 0.5000
0.1522 0.6522 0.5000
0.8478 0.3478 0.5000
0.3478 0.1522 0.5000
0.5000 0.5000 0.0000
0.0000 0.0000 0.0000

=====

Pt2AuI8, relaxed, DFT PBE; space group = C2/m, No. 12; calculated volume = 536.1 Å³ per cell; size of the total moment = 0.00 μB per formula unit; uncorrected formation energy = -0.031 eV/atom
1.0
9.3250 0.0000 0.0000
-4.6625 5.7637 -2.5187
0.0000 -2.2947 10.9777
I Pt Au
8 2 1
Direct
0.1448 0.8924 0.7992
0.8553 0.7106 0.3239
0.6449 0.2898 0.4573
0.3551 0.7102 0.5427
0.8552 0.1076 0.2008
0.2524 0.1076 0.2008
0.1447 0.2894 0.6761
0.7476 0.8924 0.7992
0.8980 0.7959 0.5812
0.1020 0.2041 0.4188
0.0000 0.0000 0.0000

=====

Pt2AuI, relaxed, DFT PBE; space group = I-42d, No. 122; calculated volume = 220.5 Å³ per cell; size of the total moment = 0.00 μB per formula unit; uncorrected formation energy = 0.719 eV/atom; E above lowest polymorph = 186 meV/atom
1.0
6.0706 0.0000 0.0000
0.0000 6.0706 0.0000
3.0353 3.0353 5.9830
Pt I Au
4 2 2
Direct
0.3750 0.3862 0.7500
0.8750 0.8638 0.7500
0.1362 0.6250 0.2500
0.6138 0.1250 0.2500
0.2500 0.7500 0.5000
0.5000 0.5000 0.0000
0.7500 0.2500 0.5000
0.0000 0.0000 0.0000

=====

PtAuI3, relaxed, DFT PBE; space group = Cmc2_1, No. 36; calculated volume = 409.4 Å³ per cell; size of the total moment = 0.00 μB per formula unit; uncorrected formation energy = 0.035 eV/atom; E above lowest polymorph = 0 meV/atom
1.0
4.9031 0.0000 0.0000
0.0000 8.9210 0.0000
-2.4515 0.0000 9.3601
Pt I Au
2 6 2
Direct
0.1273 0.5031 0.2545
0.8727 0.0031 0.7455
0.8024 0.2610 0.6047
0.1976 0.7610 0.3953
0.4186 0.0516 0.8371
0.9174 0.7236 0.8348
0.5814 0.5516 0.1629
0.0826 0.2236 0.1652
0.7688 0.7548 0.5376
0.2312 0.2548 0.4624

=====

PtAuI3, relaxed, DFT PBE; space group = Pm-3m, No. 221; calculated volume = 164.4 Å³ per cell; size of the total moment = 0.00 μB per formula unit; uncorrected formation energy = 0.443 eV/atom; E above lowest polymorph = 408 meV/atom
1.0
-4.5314 -0.9122 2.9395
-2.2581 -2.5696 -4.2784
2.0913 -4.7509 1.7496
I Pt Au
3 1 1
Direct
0.0000 0.5000 0.0000
0.0000 0.0000 0.5000
0.5000 0.0000 0.0000
0.0000 0.0000 0.0000
0.5000 0.5000 0.5000

=====

Pt2AuI, relaxed, DFT PBE; space group = Fm-3m, No. 225; calculated volume = 75.6 Å³ per cell; size of the total moment = 0.00 μB per formula unit; uncorrected formation energy = 0.533 eV/atom; E above lowest polymorph = 0 meV/atom
1.0
0.0000 3.3561 3.3561
3.3561 0.0000 3.3561
3.3561 3.3561 0.0000
I Pt Au
1 2 1
Direct
0.0000 0.0000 0.0000
0.2500 0.2500 0.2500
0.7500 0.7500 0.7500
0.5000 0.5000 0.5000

=====

PtAu2I, relaxed, DFT PBE; space group = I-42d, No. 122; calculated volume = 177.0 Å³ per cell; size of the total moment = 0.00 μB per formula unit; uncorrected formation energy = 0.409 eV/atom; E above lowest polymorph = 0 meV/atom
1.0
8.0256 0.0000 0.0000
0.0000 8.0256 0.0000
4.0128 4.0128 2.7475
I Au Pt
2 4 2
Direct
0.2500 0.7500 0.5000
0.5000 0.5000 0.0000
0.3750 0.3462 0.7500
0.8750 0.9038 0.7500
0.0962 0.6250 0.2500
0.6538 0.1250 0.2500
0.0000 0.0000 0.0000
0.7500 0.2500 0.5000